1.
The following is a DFT calculation (GGA-PBE) of a relaxed RbYZn2Cl8 crystal.

The structure in POSCAR format:
```
RbYZn2Cl8
1.0
3.243 1.872 9.971
-3.243 1.872 9.971
0.000 -3.745 9.971
Rb Y Zn Cl
1 1 2 8
direct
0.000 0.000 0.000
0.500 0.500 0.500
0.246 0.246 0.246
0.754 0.754 0.754
0.117 0.781 0.445
0.219 0.555 0.883
0.320 0.320 0.320
0.445 0.117 0.781
0.555 0.883 0.219
0.680 0.680 0.680
0.781 0.445 0.117
0.883 0.219 0.555
```

Total energy = -3.711 eV per atom
Size of the total moment = 0.00 μB per cell
Formation energy from raw total energies = -1.649 eV per atom



2.
The following is a DFT calculation (GGA-PBE) of a relaxed CrCdFe2 crystal.

The structure in POSCAR format:
```
CrCdFe2
1.0
3.887 0.000 0.000
0.000 3.887 0.000
0.000 0.000 7.207
Cr Cd Fe
2 2 4
direct
0.000 0.000 0.000
0.500 0.500 0.500
0.000 0.500 0.250
0.500 0.000 0.750
0.000 0.000 0.500
0.000 0.500 0.750
0.500 0.000 0.250
0.500 0.500 0.000
```

Total energy = -6.318 eV per atom
Energy of formation from the pure elements = 0.55 eV per atom
Size of the total moment = 10.76 μB per cell



3.
The following is a DFT calculation (GGA-PBE) of a relaxed Ti2CdFeSe crystal.

The structure in POSCAR format:
```
Ti2CdFeSe
1.0
4.632 0.000 0.000
0.000 4.632 0.000
0.000 0.000 4.949
Ti Cd Fe Se
2 1 1 1
direct
0.000 0.500 0.000
0.500 0.000 0.000
0.000 0.000 0.500
0.500 0.500 0.500
0.000 0.000 0.000
```

Total energy = -5.076 eV per atom
Size of the total moment = 2.84 μB per cell
Formation energy from raw total energies = 0.655 eV per atom



4.
The following is a DFT calculation (GGA-PBE) of a relaxed Np2PaRu crystal.

The structure in POSCAR format:
```
Np2PaRu
1.0
4.653 0.000 0.000
-2.327 4.030 0.000
0.000 0.000 12.840
Np Pa Ru
6 3 3
direct
0.000 0.000 0.246
0.000 0.000 0.754
0.333 0.667 0.420
0.333 0.667 0.913
0.667 0.333 0.087
0.667 0.333 0.580
0.000 0.000 0.000
0.333 0.667 0.667
0.667 0.333 0.333
0.000 0.000 0.500
0.333 0.667 0.167
0.667 0.333 0.833
```

Total energy = -10.970 eV per atom
Energy of formation from the pure elements = 0.19 eV per atom
Size of the total moment = 19.78 μB per cell